#a
3
Lattice="-2.8052 0.8187 -1.6944 1.4026 -1.1181 -2.8623 -2.3737 -7.4007 3.7209" Properties=species:S:1:pos:R:3 comment="HoSnBi | Alexandria via LeMat-Bulk | GGA-PBE | optimized geometry" total_magnetization_mub_per_fu=0.00 sg=I4mm pbc="T T T"
Bi -3.4845 -6.9835 -0.9727
Ho -2.3007 -4.0770 -1.5280
Sn -0.8449 -2.0745 0.3964

=====

#b
6
Lattice="4.4711 0.0000 0.0000 0.0000 4.4124 -1.1490 0.0000 -0.1280 8.5550" Properties=species:S:1:pos:R:3 comment="HoSnBi | Alexandria via LeMat-Bulk | GGA-PBE | optimized geometry" total_magnetization_mub_per_fu=0.00 sg=Cmcm pbc="T T T"
Bi 1.1178 3.2439 3.4104
Bi 3.3534 1.0405 3.9956
Ho 3.3534 3.8811 5.8573
Ho 1.1178 0.4033 1.5487
Sn 3.3534 2.4619 0.4075
Sn 1.1178 1.8224 6.9984

=====

#c
3
Lattice="3.3470 -0.8752 -0.2755 0.8524 3.3529 -0.2755 0.7290 0.4301 7.4509" Properties=species:S:1:pos:R:3 comment="HoSnBi | Alexandria via LeMat-Bulk | GGA-PBE | optimized geometry" total_magnetization_mub_per_fu=0.00 sg=P4mm pbc="T T T"
Bi 2.7084 1.5979 5.8412
Ho 0.1021 0.0602 0.9509
Sn 2.4007 1.4164 2.7315

=====

Most favorable structure: #b. The second most favorable one is 223 meV/atom above it.

=====

#a
8
Lattice="4.3509 0.0000 0.0000 0.0000 4.4321 -0.7872 0.0000 -0.1215 12.1865" Properties=species:S:1:pos:R:3 comment="Ho2SnBi | Alexandria via LeMat-Bulk | GGA-PBE | optimized geometry" total_magnetization_mub_per_fu=0.00 sg=Cmcm pbc="T T T"
Ho 1.0877 1.3394 7.5414
Ho 3.2631 4.0543 9.9566
Ho 1.0877 0.2562 1.4427
Ho 3.2631 2.9712 3.8579
Sn 3.2631 2.4117 0.7081
Sn 1.0877 1.8989 10.6911
Bi 1.0877 0.7916 4.4569
Bi 3.2631 3.5190 6.9424

=====

#b
4
Lattice="-1.5590 -1.8422 3.5340 -3.1866 -2.8410 -0.2957 3.5371 -7.2301 0.3824" Properties=species:S:1:pos:R:3 comment="Ho2SnBi | Alexandria via LeMat-Bulk | GGA-PBE | optimized geometry" total_magnetization_mub_per_fu=0.00 sg=R-3m pbc="T T T"
Ho -0.9071 -8.9342 2.7156
Ho -0.3014 -2.9792 0.9051
Sn 0.0000 0.0000 0.0000
Bi -0.6042 -5.9567 1.8103

=====

#c
4
Lattice="4.2888 0.0000 -0.0293 0.0000 4.5608 0.0000 -2.1166 0.0000 5.8776" Properties=species:S:1:pos:R:3 comment="Ho2SnBi | Alexandria via LeMat-Bulk | GGA-PBE | optimized geometry" total_magnetization_mub_per_fu=0.00 sg=Pm pbc="T T T"
Sn 1.0060 2.2804 2.8405
Ho 3.1462 0.0000 2.6434
Ho -1.1308 2.2804 5.6450
Bi 1.0114 0.0000 5.3657

=====

Most favorable structure: #a. The second most favorable one is 89 meV/atom above it.

=====

#a
4
Lattice="4.7110 0.0000 0.0000 2.3555 4.0798 0.0000 2.3555 1.3599 8.8759" Properties=species:S:1:pos:R:3 comment="HoSnBi2 | Alexandria via LeMat-Bulk | GGA-PBE | optimized geometry" total_magnetization_mub_per_fu=0.00 sg=R-3m pbc="T T T"
Bi 7.0665 4.0798 2.8946
Bi 2.3555 1.3599 5.9813
Sn 0.0000 0.0000 0.0000
Ho 4.7110 2.7199 4.4380

=====

#b
4
Lattice="4.2207 0.0000 0.0000 0.0000 4.2207 0.0000 0.0000 0.0000 6.6074" Properties=species:S:1:pos:R:3 comment="HoSnBi2 | Alexandria via LeMat-Bulk | GGA-PBE | optimized geometry" total_magnetization_mub_per_fu=0.00 sg=P4/mmm pbc="T T T"
Bi 0.0000 0.0000 4.8813
Bi 0.0000 0.0000 1.7260
Ho 2.1103 2.1103 3.3037
Sn 2.1103 2.1103 0.0000

=====

Most favorable structure: #b. The second most favorable one is 496 meV/atom above it.